Entry 1:
# CaBePd3 | Alexandria via LeMat-Bulk | SCAN | PBEsol geometry
data_CaBePd3
_chemical_formula_sum 'Ca1 Be1 Pd3'
_symmetry_space_group_name_H-M 'P m -3 m'
_symmetry_Int_Tables_number 221
_symmetry_space_group_name_Hall '-P 4 2 3'
_cell_length_a 4.2870
_cell_length_b 4.2870
_cell_length_c 4.2870
_cell_angle_alpha 90.00
_cell_angle_beta 90.00
_cell_angle_gamma 90.00
loop_
_atom_site_label
_atom_site_type_symbol
_atom_site_fract_x
_atom_site_fract_y
_atom_site_fract_z
Ca1 Ca 0.0000 0.0000 0.0000
Be1 Be 0.5000 0.5000 0.5000
Pd1 Pd 0.0000 0.5000 0.5000
# Size of the total moment ... 0.000 μB/atom
# N(E_F) ... 0.55 states/eV/f.u.
# Crystal system ... cubic
# Energy relative to the elements ... -0.6523 eV per atom

---

Entry 2:
# Ca2BePdSe | Alexandria via LeMat-Bulk | SCAN | PBEsol geometry
data_Ca2BePdSe
_chemical_formula_sum 'Ca2 Be1 Pd1 Se1'
_symmetry_space_group_name_H-M 'P 4/m m m'
_symmetry_Int_Tables_number 123
_symmetry_space_group_name_Hall '-P 4 2'
_cell_length_a 5.3826
_cell_length_b 5.3826
_cell_length_c 4.1969
_cell_angle_alpha 90.00
_cell_angle_beta 90.00
_cell_angle_gamma 90.00
loop_
_atom_site_label
_atom_site_type_symbol
_atom_site_fract_x
_atom_site_fract_y
_atom_site_fract_z
Ca1 Ca 0.0000 0.5000 0.0000
Be1 Be 0.0000 0.0000 0.5000
Pd1 Pd 0.0000 0.0000 0.0000
Se1 Se 0.5000 0.5000 0.5000
# Size of the total moment ... 0.000 μB/atom
# N(E_F) ... 1.28 states/eV/f.u.
# Crystal system ... tetragonal
# E_form (uncorrected) ... -3.3 eV/f.u.

---

Entry 3:
# CaBeZnPd2 | Alexandria via LeMat-Bulk | SCAN | PBEsol geometry
data_CaBeZnPd2
_chemical_formula_sum 'Ca1 Be1 Zn1 Pd2'
_symmetry_space_group_name_H-M 'P 4/m m m'
_symmetry_Int_Tables_number 123
_symmetry_space_group_name_Hall '-P 4 2'
_cell_length_a 4.3437
_cell_length_b 4.3437
_cell_length_c 4.3067
_cell_angle_alpha 90.00
_cell_angle_beta 90.00
_cell_angle_gamma 90.00
loop_
_atom_site_label
_atom_site_type_symbol
_atom_site_fract_x
_atom_site_fract_y
_atom_site_fract_z
Ca1 Ca 0.0000 0.0000 0.0000
Be1 Be 0.5000 0.5000 0.5000
Zn1 Zn 0.5000 0.5000 0.0000
Pd1 Pd 0.0000 0.5000 0.5000
# Size of the total moment ... 0.000 μB/atom
# N(E_F) ... 2.63 states/eV/f.u.
# Crystal system ... tetragonal
# Energy relative to the elements ... -0.4225 eV per atom

---

Entry 4:
# CaBe2Pt | Alexandria via LeMat-Bulk | SCAN | PBEsol geometry
data_CaBe2Pt
_chemical_formula_sum 'Ca3 Be6 Pt3'
_symmetry_space_group_name_H-M 'R -3 m'
_symmetry_Int_Tables_number 166
_symmetry_space_group_name_Hall '-R 3 2"'
_cell_length_a 3.9201
_cell_length_b 3.9201
_cell_length_c 14.8040
_cell_angle_alpha 90.00
_cell_angle_beta 90.00
_cell_angle_gamma 120.00
loop_
_atom_site_label
_atom_site_type_symbol
_atom_site_fract_x
_atom_site_fract_y
_atom_site_fract_z
Ca1 Ca 0.0000 0.0000 0.0000
Be1 Be 0.0000 0.0000 0.1871
Pt1 Pt 0.0000 0.0000 0.5000
# Size of the total moment ... 0.000 μB/atom
# N(E_F) ... 2.15 states/eV/f.u.
# Crystal system ... trigonal
# Energy relative to the elements ... -0.7237 eV per atom
# Energy above the most stable polymorph in this dataset ... 0 meV/atom

---

Entry 5:
# Ca2BePt | Alexandria via LeMat-Bulk | SCAN | PBEsol geometry
data_Ca2BePt
_chemical_formula_sum 'Ca8 Be4 Pt4'
_symmetry_space_group_name_H-M 'I -4 2 d'
_symmetry_Int_Tables_number 122
_symmetry_space_group_name_Hall 'I -4 2bw'
_cell_length_a 7.8245
_cell_length_b 7.8245
_cell_length_c 5.6109
_cell_angle_alpha 90.00
_cell_angle_beta 90.00
_cell_angle_gamma 90.00
loop_
_atom_site_label
_atom_site_type_symbol
_atom_site_fract_x
_atom_site_fract_y
_atom_site_fract_z
Ca1 Ca 0.2282 0.7500 0.1250
Be1 Be 0.0000 0.0000 0.5000
Pt1 Pt 0.0000 0.0000 0.0000
# Size of the total moment ... 0.000 μB/atom
# N(E_F) ... 1.73 states/eV/f.u.
# Crystal system ... tetragonal
# Energy relative to the elements ... 0.0525 eV per atom

---

Entry 6:
# CaBe2Pt | Alexandria via LeMat-Bulk | SCAN | PBEsol geometry
data_CaBe2Pt
_chemical_formula_sum 'Ca1 Be2 Pt1'
_symmetry_space_group_name_H-M 'P m m 2'
_symmetry_Int_Tables_number 25
_symmetry_space_group_name_Hall 'P 2 -2'
_cell_length_a 2.9079
_cell_length_b 3.1564
_cell_length_c 6.5265
_cell_angle_alpha 90.00
_cell_angle_beta 90.00
_cell_angle_gamma 90.00
loop_
_atom_site_label
_atom_site_type_symbol
_atom_site_fract_x
_atom_site_fract_y
_atom_site_fract_z
Ca1 Ca 0.0000 0.0000 0.0000
Be1 Be 0.0000 0.0000 0.4916
Be2 Be 0.5000 0.5000 0.6711
Pt1 Pt 0.5000 0.5000 0.3265
# Size of the total moment ... 0.001 μB/atom
# N(E_F) ... 1.66 states/eV/f.u.
# Crystal system ... orthorhombic
# Energy relative to the elements ... -0.2795 eV per atom
# Energy above the most stable polymorph in this dataset ... 444 meV/atom

---

Entry 7:
# CaBe2Pt | Alexandria via LeMat-Bulk | SCAN | PBEsol geometry
data_CaBe2Pt
_chemical_formula_sum 'Ca1 Be2 Pt1'
_symmetry_space_group_name_H-M 'P 4/m m m'
_symmetry_Int_Tables_number 123
_symmetry_space_group_name_Hall '-P 4 2'
_cell_length_a 3.8947
_cell_length_b 3.8947
_cell_length_c 3.9885
_cell_angle_alpha 90.00
_cell_angle_beta 90.00
_cell_angle_gamma 90.00
loop_
_atom_site_label
_atom_site_type_symbol
_atom_site_fract_x
_atom_site_fract_y
_atom_site_fract_z
Ca1 Ca 0.0000 0.0000 0.0000
Be1 Be 0.0000 0.5000 0.5000
Pt1 Pt 0.5000 0.5000 0.0000
# Size of the total moment ... 0.000 μB/atom
# N(E_F) ... 1.71 states/eV/f.u.
# Crystal system ... tetragonal
# Energy relative to the elements ... 0.0436 eV per atom
# Energy above the most stable polymorph in this dataset ... 767 meV/atom

---

Entry 8:
# Ca4BePt | Alexandria via LeMat-Bulk | SCAN | PBEsol geometry
data_Ca4BePt
_chemical_formula_sum 'Ca16 Be4 Pt4'
_symmetry_space_group_name_H-M 'F -4 3 m'
_symmetry_Int_Tables_number 216
_symmetry_space_group_name_Hall 'F -4 2 3'
_cell_length_a 8.3853
_cell_length_b 8.3853
_cell_length_c 8.3853
_cell_angle_alpha 90.00
_cell_angle_beta 90.00
_cell_angle_gamma 90.00
loop_
_atom_site_label
_atom_site_type_symbol
_atom_site_fract_x
_atom_site_fract_y
_atom_site_fract_z
Ca1 Ca 0.1240 0.1240 0.3760
Be1 Be 0.0000 0.0000 0.0000
Pt1 Pt 0.2500 0.2500 0.7500
# Size of the total moment ... 0.000 μB/atom
# N(E_F) ... 2.18 states/eV/f.u.
# Crystal system ... cubic
# Energy relative to the elements ... 0.7572 eV per atom

---

- Look up the size of the total moment of the third one.
  0.000 μB/atom